Gd2SnC: relaxed, PBE.

The space group is R-3m (No. 166, hexagonal axes) and the conventional cell measures 3.6046, 3.6046 and 27.3335 Å, with angles of 90.00, 90.00 and 120.00 degrees. The asymmetric unit holds Gd at (0.0000, 0.0000, 0.1173), Sn at (0.0000, 0.0000, 0.0000) and C at (0.0000, 0.0000, 0.5000).

The total moment comes out at 14.749 μB per formula unit. The calculation puts the density of states at the Fermi level at 0.661 states/eV per atom. The value obtained for the raw total energy is -10.538 eV per atom. The calculation puts the energy of formation at -0.19 eV per atom.